No. 1
A plane-wave DFT calculation with SCAN was carried out for TaSn3C at its PBEsol-relaxed geometry.

Properties
E_form ... 1390 meV per atom
Electronic total energy ... -35.50 eV/atom
Magnetic moment ... 0.00 μB/cell

Cell lengths 4.601, 4.601, 4.601 Å; angles 90.00, 90.00, 90.00 degrees
Space group Pm-3m (No. 221)
Inequivalent atoms, fractional coordinates:
Ta: 0.000 0.000 0.000 (multiplicity 1)
Sn: 0.000 0.500 0.500 (multiplicity 3)
C: 0.500 0.500 0.500 (multiplicity 1)

---

No. 2
A plane-wave DFT calculation with SCAN was carried out for Tc3SnC at its PBEsol-relaxed geometry.

Properties
E_form ... 3498 meV per atom
Electronic total energy ... -26.74 eV/atom
Magnetic moment ... 7.07 μB/cell

Cell lengths 4.823, 4.823, 4.823 Å; angles 90.00, 90.00, 90.00 degrees
Space group Pm-3m (No. 221)
Inequivalent atoms, fractional coordinates:
Tc: 0.000 0.000 0.500 (multiplicity 3)
Sn: 0.000 0.000 0.000 (multiplicity 1)
C: 0.500 0.500 0.500 (multiplicity 1)

---

No. 3
A plane-wave DFT calculation with SCAN was carried out for Ti2SnC at its PBEsol-relaxed geometry.

Properties
E above lowest polymorph ... 0 meV/atom
E_form ... -810 meV per atom
Electronic total energy ... -20.33 eV/atom
Magnetic moment ... 0.00 μB/cell

Cell lengths 3.1408, 3.1408, 13.6257 Å; angles 90.00, 90.00, 120.00 degrees
Space group P6_3/mmc (No. 194)
Inequivalent atoms, fractional coordinates:
Ti: 0.3333 0.6667 0.0813 (multiplicity 4)
Sn: 0.3333 0.6667 0.7500 (multiplicity 2)
C: 0.0000 0.0000 0.0000 (multiplicity 2)

---

No. 4
A plane-wave DFT calculation with SCAN was carried out for Ti3SnC2 at its PBEsol-relaxed geometry.

Properties
E_form ... -888 meV per atom
Electronic total energy ... -18.26 eV/atom
Magnetic moment ... 0.00 μB/cell

Cell lengths 3.1158, 3.1158, 18.5326 Å; angles 90.00, 90.00, 120.00 degrees
Space group P6_3/mmc (No. 194)
Inequivalent atoms, fractional coordinates:
Ti: 0.0000 0.0000 0.0000 (multiplicity 2)
Ti: 0.3333 0.6667 0.1248 (multiplicity 4)
Sn: 0.0000 0.0000 0.2500 (multiplicity 2)
C: 0.3333 0.6667 0.5682 (multiplicity 4)

---

No. 5
A plane-wave DFT calculation with SCAN was carried out for Ti2SnC at its PBEsol-relaxed geometry.

Properties
E above lowest polymorph ... 1610 meV/atom
E_form ... 800 meV per atom
Electronic total energy ... -18.72 eV/atom
Magnetic moment ... 0.00 μB/cell

Cell lengths 6.199, 6.199, 6.199 Å; angles 90.00, 90.00, 90.00 degrees
Space group Fm-3m (No. 225)
Inequivalent atoms, fractional coordinates:
Ti: 0.250 0.250 0.250 (multiplicity 8)
Sn: 0.000 0.000 0.000 (multiplicity 4)
C: 0.000 0.000 0.500 (multiplicity 4)

---

No. 6
A plane-wave DFT calculation with SCAN was carried out for YSn3C at its PBEsol-relaxed geometry.

Properties
E_form ... 609 meV per atom
Electronic total energy ... -28.53 eV/atom
Magnetic moment ... 0.00 μB/cell

Cell lengths 4.779, 4.779, 4.779 Å; angles 90.00, 90.00, 90.00 degrees
Space group Pm-3m (No. 221)
Inequivalent atoms, fractional coordinates:
Y: 0.000 0.000 0.000 (multiplicity 1)
Sn: 0.000 0.500 0.500 (multiplicity 3)
C: 0.500 0.500 0.500 (multiplicity 1)

---

No. 7
A plane-wave DFT calculation with SCAN was carried out for ZnSnC3 at its PBEsol-relaxed geometry.

Properties
E_form ... 2788 meV per atom
Electronic total energy ... -13.16 eV/atom
Magnetic moment ... 0.00 μB/cell

Cell lengths 3.988, 3.988, 3.988 Å; angles 90.00, 90.00, 90.00 degrees
Space group Pm-3m (No. 221)
Inequivalent atoms, fractional coordinates:
Zn: 0.000 0.000 0.000 (multiplicity 1)
Sn: 0.500 0.500 0.500 (multiplicity 1)
C: 0.000 0.000 0.500 (multiplicity 3)

---

No. 8
A plane-wave DFT calculation with SCAN was carried out for SrC at its PBEsol-relaxed geometry.

Properties
E above lowest polymorph ... 604 meV/atom
E_form ... 541 meV per atom
Electronic total energy ... -15.65 eV/atom
Magnetic moment ... 1.27 μB/cell

Cell lengths 5.1397, 5.1397, 6.5561 Å; angles 90.00, 90.00, 120.00 degrees
Space group P6_3/mmc (No. 194)
Inequivalent atoms, fractional coordinates:
Sr: 0.0000 0.0000 0.2500 (multiplicity 2)
Sr: 0.3333 0.6667 0.2500 (multiplicity 2)
C: 0.3333 0.6667 0.6498 (multiplicity 4)

---

No. 9
A plane-wave DFT calculation with SCAN was carried out for SrC2 at its PBEsol-relaxed geometry.

Properties
E_form ... 137 meV per atom
Electronic total energy ... -14.02 eV/atom
Magnetic moment ... 0.00 μB/cell

Cell lengths 5.414, 5.414, 6.867 Å; angles 90.00, 90.00, 90.00 degrees
Space group I4/mcm (No. 140)
Inequivalent atoms, fractional coordinates:
Sr: 0.000 0.000 0.250 (multiplicity 4)
C: 0.082 0.418 0.000 (multiplicity 8)

---

No. 10
A plane-wave DFT calculation with SCAN was carried out for Sr3C at its PBEsol-relaxed geometry.

Properties
E_form ... 795 meV per atom
Electronic total energy ... -18.44 eV/atom
Magnetic moment ... 0.00 μB/cell

Cell lengths 4.718, 4.718, 6.542 Å; angles 90.00, 90.00, 90.00 degrees
Space group P4mm (No. 99)
Inequivalent atoms, fractional coordinates:
Sr: 0.000 0.000 0.000 (multiplicity 1)
Sr: 0.000 0.500 0.445 (multiplicity 2)
C: 0.500 0.500 0.260 (multiplicity 1)

---

No. 11
A plane-wave DFT calculation with SCAN was carried out for SrC2 at its PBEsol-relaxed geometry.

Properties
E_form ... -78 meV per atom
Electronic total energy ... -14.24 eV/atom
Magnetic moment ... 0.00 μB/cell

Cell lengths 6.105, 6.105, 6.105 Å; angles 90.00, 90.00, 90.00 degrees
Space group Pa-3 (No. 205)
Inequivalent atoms, fractional coordinates:
Sr: 0.000 0.000 0.000 (multiplicity 4)
C: 0.060 0.560 0.940 (multiplicity 8)

---

No. 12
A plane-wave DFT calculation with SCAN was carried out for SrC at its PBEsol-relaxed geometry.

Properties
E above lowest polymorph ... 1392 meV/atom
E_form ... 1329 meV per atom
Electronic total energy ... -14.86 eV/atom
Magnetic moment ... 6.00 μB/cell

Cell lengths 6.7873, 6.7873, 3.5255 Å; angles 90.00, 90.00, 120.00 degrees
Space group P-62m (No. 189)
Inequivalent atoms, fractional coordinates:
Sr: 0.0000 0.3804 0.0000 (multiplicity 3)
C: 0.0000 0.0000 0.0000 (multiplicity 1)
C: 0.3333 0.6667 0.5000 (multiplicity 2)

---

No. 13
A plane-wave DFT calculation with SCAN was carried out for SrC2 at its PBEsol-relaxed geometry.

Properties
E_form ... 29 meV per atom
Electronic total energy ... -14.13 eV/atom
Magnetic moment ... 0.00 μB/cell

Cell lengths 4.9059, 4.9059, 6.9003 Å; angles 90.00, 90.00, 120.00 degrees
Space group R-3m (No. 166, hexagonal axes)
Inequivalent atoms, fractional coordinates:
Sr: 0.0000 0.0000 0.0000 (multiplicity 3)
C: 0.0000 0.0000 0.4082 (multiplicity 6)

---

No. 14
A plane-wave DFT calculation with SCAN was carried out for SrC2 at its PBEsol-relaxed geometry.

Properties
E_form ... 2213 meV per atom
Electronic total energy ... -11.95 eV/atom
Magnetic moment ... 0.00 μB/cell

Cell lengths 6.675, 6.675, 6.675 Å; angles 90.00, 90.00, 90.00 degrees
Space group Fd-3m (No. 227, origin choice 2)
Inequivalent atoms, fractional coordinates:
Sr: 0.125 0.125 0.125 (multiplicity 8)
C: 0.000 0.000 0.500 (multiplicity 16)

---

No. 15
A plane-wave DFT calculation with SCAN was carried out for SrC2 at its PBEsol-relaxed geometry.

Properties
E_form ... -112 meV per atom
Electronic total energy ... -14.27 eV/atom
Magnetic moment ... 0.00 μB/cell

Cell lengths 4.054, 4.054, 6.758 Å; angles 90.00, 90.00, 90.00 degrees
Space group I4/mmm (No. 139)
Inequivalent atoms, fractional coordinates:
Sr: 0.000 0.000 0.000 (multiplicity 2)
C: 0.000 0.000 0.407 (multiplicity 4)

---

No. 16
A plane-wave DFT calculation with SCAN was carried out for SrC at its PBEsol-relaxed geometry.

Properties
E above lowest polymorph ... 0 meV/atom
E_form ... -63 meV per atom
Electronic total energy ... -16.25 eV/atom
Magnetic moment ... 0.12 μB/cell

Cell lengths 7.595, 3.946, 7.188 Å; angles 90.00, 91.40, 90.00 degrees
Space group C2/m (No. 12)
Inequivalent atoms, fractional coordinates:
Sr: 0.135 0.000 0.227 (multiplicity 4)
C: 0.069 0.500 0.950 (multiplicity 4)

---

No. 17
A plane-wave DFT calculation with SCAN was carried out for Sr2C at its PBEsol-relaxed geometry.

Properties
E_form ... 500 meV per atom
Electronic total energy ... -17.72 eV/atom
Magnetic moment ... 0.32 μB/cell

Cell lengths 6.434, 6.434, 4.222 Å; angles 90.00, 90.00, 90.00 degrees
Space group P4_2/mnm (No. 136)
Inequivalent atoms, fractional coordinates:
Sr: 0.193 0.193 0.000 (multiplicity 4)
C: 0.000 0.000 0.500 (multiplicity 2)

---

No. 18
A plane-wave DFT calculation with SCAN was carried out for SrC2 at its PBEsol-relaxed geometry.

Properties
E_form ... 2326 meV per atom
Electronic total energy ... -11.83 eV/atom
Magnetic moment ... 0.00 μB/cell

Cell lengths 2.724, 2.724, 4.657 Å; angles 90.00, 90.00, 90.00 degrees
Space group P4/mmm (No. 123)
Inequivalent atoms, fractional coordinates:
Sr: 0.000 0.000 0.000 (multiplicity 1)
C: 0.000 0.500 0.500 (multiplicity 2)

---

No. 19
A plane-wave DFT calculation with SCAN was carried out for SrC2 at its PBEsol-relaxed geometry.

Properties
E_form ... 2869 meV per atom
Electronic total energy ... -11.29 eV/atom
Magnetic moment ... 18.00 μB/cell

Cell lengths 7.0165, 7.0165, 5.8262 Å; angles 90.00, 90.00, 120.00 degrees
Space group P-31m (No. 162)
Inequivalent atoms, fractional coordinates:
Sr: 0.0000 0.0000 0.0000 (multiplicity 1)
Sr: 0.3333 0.6667 0.5000 (multiplicity 2)
C: 0.0000 0.3339 0.7436 (multiplicity 6)

---

No. 20
A plane-wave DFT calculation with SCAN was carried out for SrTcC3 at its PBEsol-relaxed geometry.

Properties
E_form ... 975 meV per atom
Electronic total energy ... -16.55 eV/atom
Magnetic moment ... 0.00 μB/cell

Cell lengths 4.036, 4.036, 4.036 Å; angles 90.00, 90.00, 90.00 degrees
Space group Pm-3m (No. 221)
Inequivalent atoms, fractional coordinates:
Sr: 0.000 0.000 0.000 (multiplicity 1)
Tc: 0.500 0.500 0.500 (multiplicity 1)
C: 0.000 0.500 0.500 (multiplicity 3)